Compound: CaGaHg4
Source: the Alexandria database
Functional: GGA-PBE
Structure: optimized geometry

a = 15.190 Å, b = 7.555 Å, c = 5.619 Å
α = 90.00°, β = 108.97°, γ = 90.00°
Space group C2/m (No. 12)
Unique sites:
Ca: 0.208 0.000 0.147
Ga: 0.054 0.500 0.741
Hg: 0.000 0.196 0.000
Hg: 0.130 0.198 0.585
Hg: 0.168 0.500 0.248

- energy relative to the elements (eV/f.u.) = -1.230
- excess energy over the best structure of this formula in the dataset (eV per formula unit) = 0.00
- mass density (Mg/m³) = 9.94